4
Lattice="-3.616 -2.763 -1.680 -4.608 1.249 0.862 -2.796 1.605 -3.624" Properties=species:S:1:pos:R:3 comment="IrPdPb2 PBE relaxed" density_g_cm3=14.67 energy_ev_per_atom=-5.16 spacegroup="No. 225" formation_energy_ev_per_atom=0.205 pbc="T T T"
Ir -5.510 0.046 -2.221
Pd 0.000 0.000 0.000
Pb -8.265 0.069 -3.332
Pb -2.755 0.023 -1.111